The following is a DFT calculation (PBE) of a geometry-optimized CdFeP2S6 structure.

The formation energy without anion corrections is -0.3017 eV/atom. For the density, the calculation gives 3.04 Mg/m³. For the size of the total moment, the calculation gives 4.00 μB per formula unit.

The structure belongs to space group C2 (No. 5); the cell edges are 6.109, 10.626 and 7.391 Å and the angles 90.00°, 106.09° and 90.00°. The distinct sites, in fractional coordinates, are Cd at (0.000, 0.000, 0.000), Fe at (0.000, 0.348, 0.000), P at (0.049, 0.668, 0.157), S at (0.214, 0.499, 0.232), S at (0.243, 0.321, 0.767) and S at (0.249, 0.182, 0.225).

---

The following is a DFT calculation (PBE) of a geometry-optimized LaTe3C structure.

For the energy above the most stable polymorph in this dataset, the calculation gives 6.087 eV/f.u. The formation energy without anion corrections is 1.2989 eV/atom. For the density, the calculation gives 3.70 Mg/m³. For the size of the total moment, the calculation gives 0.13 μB per formula unit.

The structure belongs to space group Pm-3m (No. 221); the cell edges are 6.209, 6.209 and 6.209 Å and the angles 90.00°, 90.00° and 90.00°. The distinct sites, in fractional coordinates, are La at (0.000, 0.000, 0.000), Te at (0.000, 0.000, 0.500) and C at (0.500, 0.500, 0.500).

---

The following is a DFT calculation (PBE) of a geometry-optimized Li2CuSi2Pd5 structure.

The formation energy without anion corrections is -0.5144 eV/atom. For the density, the calculation gives 7.34 Mg/m³. For the size of the total moment, the calculation gives 0.00 μB per formula unit.

The structure belongs to space group P4/mbm (No. 127); the cell edges are 9.310, 9.310 and 3.473 Å and the angles 90.00°, 90.00° and 90.00°. The distinct sites, in fractional coordinates, are Li at (0.168, 0.332, 0.000), Cu at (0.000, 0.000, 0.000), Si at (0.133, 0.633, 0.000), Pd at (0.000, 0.500, 0.500) and Pd at (0.076, 0.799, 0.500).

---

The following is a DFT calculation (PBE) of a geometry-optimized PmNdHo structure.

For the energy above the most stable polymorph in this dataset, the calculation gives 0.016 eV/f.u. For the density, the calculation gives 7.49 Mg/m³. For the size of the total moment, the calculation gives 0.00 μB per formula unit.

The structure belongs to space group I4mm (No. 107); the cell edges are 3.624, 3.624 and 15.340 Å and the angles 90.00°, 90.00° and 90.00°. The distinct sites, in fractional coordinates, are Pm at (0.000, 0.000, 0.000), Nd at (0.000, 0.000, 0.330) and Ho at (0.000, 0.000, 0.664).

---

The following is a DFT calculation (PBE) of a geometry-optimized Tc3SbCl structure.

For the energy above the most stable polymorph in this dataset, the calculation gives 4.276 eV/f.u. The formation energy without anion corrections is 1.9608 eV/atom. For the density, the calculation gives 5.68 Mg/m³. For the size of the total moment, the calculation gives 8.46 μB per formula unit.

The structure belongs to space group Pm-3m (No. 221); the cell edges are 5.090, 5.090 and 5.090 Å and the angles 90.00°, 90.00° and 90.00°. The distinct sites, in fractional coordinates, are Tc at (0.000, 0.000, 0.500), Sb at (0.000, 0.000, 0.000) and Cl at (0.500, 0.500, 0.500).

---

The following is a DFT calculation (PBE) of a geometry-optimized LiNdZnPd2 structure.

The value obtained for the calculated total energy is -4.27 eV per atom. For the density, the calculation gives 7.46 Mg/m³. For the size of the total moment, the calculation gives 0.00 μB per formula unit.

The structure belongs to space group I-4m2 (No. 119); the cell edges are 3.981, 3.981 and 12.058 Å and the angles 90.00°, 90.00° and 90.00°. The distinct sites, in fractional coordinates, are Li at (0.000, 0.000, 0.000), Nd at (0.000, 0.500, 0.750), Zn at (0.000, 0.000, 0.500) and Pd at (0.000, 0.500, 0.138).

---

The following is a DFT calculation (PBE) of a geometry-optimized Rb2NaCdH5 structure.

The value obtained for the calculated total energy is -2.41 eV per atom. For the density, the calculation gives 2.90 Mg/m³. For the size of the total moment, the calculation gives 0.00 μB per formula unit.

The structure belongs to space group I4/mcm (No. 140); the cell edges are 7.834, 7.834 and 11.636 Å and the angles 90.00°, 90.00° and 90.00°. The distinct sites, in fractional coordinates, are Rb at (0.182, 0.318, 0.000), Na at (0.000, 0.000, 0.250), Cd at (0.000, 0.500, 0.250), H at (0.000, 0.000, 0.000) and H at (0.134, 0.366, 0.342).

---

The following is a DFT calculation (PBE) of a geometry-optimized Er5Ga2Os structure.

The value obtained for the calculated total energy is -5.42 eV per atom. For the density, the calculation gives 10.08 Mg/m³. For the size of the total moment, the calculation gives 0.00 μB per formula unit.

The structure belongs to space group I4/mcm (No. 140); the cell edges are 7.198, 7.198 and 14.828 Å and the angles 90.00°, 90.00° and 90.00°. The distinct sites, in fractional coordinates, are Er at (0.000, 0.000, 0.000), Er at (0.177, 0.323, 0.152), Ga at (0.121, 0.379, 0.500) and Os at (0.000, 0.000, 0.250).

---

| no. | DOS at the Fermi energy (states/eV/f.u.) |
| --- | --- |
| 1 | 2.31 |
| 2 | 10.42 |
| 3 | 3.31 |
| 4 | 4.34 |
| 5 | 6.96 |
| 6 | 2.75 |
| 7 | 0.00 |
| 8 | 6.98 |